Entry from Alexandria: a relaxed structure of Si2PAu (PBEsol).

Cell lengths 3.020, 3.020, 6.586 Å; angles 90.00, 90.00, 90.00 degrees
Fractional positions:
Si (0.000, 0.000, 0.223)
Si (0.000, 0.000, 0.777)
P (0.500, 0.500, 0.000)
Au (0.500, 0.500, 0.500)

Raw formation energy, eV/atom: 0.313
Space group: P4/mmm, No. 123
DOS at the Fermi energy, states/eV per cell: 1.30
Total DFT energy (no corrections), eV for the cell shown: -19.95
Total magnetization, μB per cell: 0.0